1.
A relaxed Tm3B7Ru crystal. Source: Alexandria via LeMat-Bulk, functional PBE-GGA.

Output
Symmetry: Cmcm (63)

a b c (Å): 3.479 7.950 9.238
angles (deg): 90.00 90.00 102.64
Atoms (fractional coordinates):
1 Tm 0.106 0.212 0.440
2 Tm 0.894 0.788 0.560
3 Tm 0.245 0.490 0.750
4 Tm 0.755 0.510 0.250
5 Tm 0.106 0.212 0.060
6 Tm 0.894 0.788 0.940
7 B 0.455 0.909 0.750
8 B 0.545 0.091 0.250
9 B 0.480 0.960 0.405
10 B 0.520 0.040 0.595
11 B 0.520 0.040 0.905
12 B 0.480 0.960 0.095
13 B 0.368 0.736 0.349
14 B 0.632 0.264 0.651
15 B 0.273 0.545 0.466
16 B 0.727 0.455 0.534
17 B 0.727 0.455 0.966
18 B 0.273 0.545 0.034
19 B 0.368 0.736 0.151
20 B 0.632 0.264 0.849
21 Ru 0.946 0.893 0.250
22 Ru 0.054 0.107 0.750

2.
A relaxed TmB4Ru4 crystal. Source: Alexandria via LeMat-Bulk, functional PBE-GGA.

Output
Relative energy among the computed polymorphs, kJ/mol of formula units: 41.8
Symmetry: P4_2/nmc (137)

a b c (Å): 5.360 5.360 7.323
angles (deg): 90.00 90.00 90.00
Atoms (fractional coordinates):
1 Tm 0.000 0.000 0.000
2 Tm 0.500 0.500 0.500
3 B 0.500 0.828 0.850
4 B 0.500 0.172 0.850
5 B 0.828 0.500 0.150
6 B 0.172 0.500 0.150
7 B 0.328 0.000 0.350
8 B 0.672 0.000 0.350
9 B 0.000 0.328 0.650
10 B 0.000 0.672 0.650
11 Ru 0.255 0.500 0.860
12 Ru 0.745 0.500 0.860
13 Ru 0.500 0.745 0.140
14 Ru 0.500 0.255 0.140
15 Ru 0.000 0.755 0.360
16 Ru 0.000 0.245 0.360
17 Ru 0.245 0.000 0.640
18 Ru 0.755 0.000 0.640

3.
A relaxed TmB3Ru3 crystal. Source: Alexandria via LeMat-Bulk, functional PBE-GGA.

Output
Relative energy among the computed polymorphs, kJ/mol of formula units: 0.0
Symmetry: Pm-3n (223)

a b c (Å): 5.793 5.793 5.793
angles (deg): 90.00 90.00 90.00
Atoms (fractional coordinates):
1 Ru 0.250 0.000 0.500
2 Ru 0.000 0.500 0.250
3 Ru 0.500 0.750 0.000
4 Ru 0.750 0.000 0.500
5 Ru 0.000 0.500 0.750
6 Ru 0.500 0.250 0.000
7 B 0.000 0.250 0.500
8 B 0.000 0.750 0.500
9 B 0.500 0.000 0.750
10 B 0.750 0.500 0.000
11 B 0.500 0.000 0.250
12 B 0.250 0.500 0.000
13 Tm 0.500 0.500 0.500
14 Tm 0.000 0.000 0.000

4.
A relaxed TmBRu2 crystal. Source: Alexandria via LeMat-Bulk, functional PBE-GGA.

Output
Symmetry: R-3m (166)

a b c (Å): 3.231 3.231 6.997
angles (deg): 76.65 76.65 60.00
Site moments in Bohr magnetons follow the coordinates.
Atoms (fractional coordinates):
1 Ru 0.721 0.721 0.838  0.12
2 Ru 0.279 0.279 0.162  0.12
3 B 0.000 0.000 0.000  -0.01
4 Tm 0.500 0.500 0.500  -0.01

5.
A relaxed TmBRu crystal. Source: Alexandria via LeMat-Bulk, functional PBE-GGA.

Output
Relative energy among the computed polymorphs, kJ/mol of formula units: 98.1
Symmetry: C2/m (12)

a b c (Å): 3.107 4.713 7.175
angles (deg): 109.14 102.36 90.05
Atoms (fractional coordinates):
1 Tm 0.167 0.667 0.334
2 Tm 0.833 0.333 0.666
3 B 0.999 0.815 0.000
4 B 0.001 0.185 0.000
5 Ru 0.603 0.103 0.206
6 Ru 0.397 0.897 0.794

6.
A relaxed TmB4Ru4 crystal. Source: Alexandria via LeMat-Bulk, functional PBE-GGA.

Output
Relative energy among the computed polymorphs, kJ/mol of formula units: 0.0
Symmetry: I4_1/acd (142)

a b c (Å): 9.183 9.183 9.183
angles (deg): 132.01 132.01 70.21
Atoms (fractional coordinates):
1 Tm 0.750 0.750 0.000
2 Tm 0.250 0.250 0.000
3 Tm 0.000 0.500 0.500
4 Tm 0.500 0.000 0.500
5 B 0.721 0.413 0.971
6 B 0.221 0.250 0.308
7 B 0.663 0.471 0.471
8 B 0.163 0.692 0.192
9 B 0.029 0.837 0.529
10 B 0.529 0.000 0.192
11 B 0.087 0.779 0.029
12 B 0.587 0.558 0.308
13 B 0.942 0.913 0.692
14 B 0.442 0.750 0.029
15 B 0.500 0.971 0.808
16 B 0.000 0.192 0.529
17 B 0.808 0.337 0.808
18 B 0.308 0.500 0.471
19 B 0.250 0.279 0.692
20 B 0.750 0.058 0.971
21 Ru 0.039 0.573 0.235
22 Ru 0.539 0.303 0.466
23 Ru 0.823 0.789 0.735
24 Ru 0.323 0.588 0.034
25 Ru 0.711 0.677 0.265
26 Ru 0.211 0.947 0.034
27 Ru 0.927 0.461 0.765
28 Ru 0.427 0.662 0.466
29 Ru 0.838 0.073 0.534
30 Ru 0.338 0.803 0.765
31 Ru 0.553 0.289 0.966
32 Ru 0.053 0.088 0.265
33 Ru 0.912 0.177 0.966
34 Ru 0.412 0.447 0.735
35 Ru 0.197 0.961 0.534
36 Ru 0.697 0.162 0.235

7.
A relaxed TmB2Ru4 crystal. Source: Alexandria via LeMat-Bulk, functional PBE-GGA.

Output
Symmetry: Cmmm (65)

a b c (Å): 3.764 3.774 6.771
angles (deg): 106.18 90.00 90.00
Atoms (fractional coordinates):
1 Tm 0.000 0.000 0.000
2 B 0.500 0.572 0.144
3 B 0.500 0.428 0.856
4 Ru 0.500 0.824 0.647
5 Ru 0.000 0.681 0.363
6 Ru 0.500 0.176 0.353
7 Ru 0.000 0.319 0.637

8.
A relaxed Tm2VB2Ru5 crystal. Source: Alexandria via LeMat-Bulk, functional PBE-GGA.

Output
Symmetry: P4/mbm (127)

a b c (Å): 3.073 9.512 9.512
angles (deg): 90.00 90.00 90.00
Atoms (fractional coordinates):
1 Tm 0.000 0.675 0.175
2 Tm 0.000 0.325 0.825
3 Tm 0.000 0.175 0.325
4 Tm 0.000 0.825 0.675
5 V 0.000 0.000 0.000
6 V 0.000 0.500 0.500
7 B 0.000 0.123 0.623
8 B 0.000 0.877 0.377
9 B 0.000 0.623 0.877
10 B 0.000 0.377 0.123
11 Ru 0.500 0.213 0.070
12 Ru 0.500 0.787 0.930
13 Ru 0.500 0.070 0.787
14 Ru 0.500 0.713 0.430
15 Ru 0.500 0.930 0.213
16 Ru 0.500 0.287 0.570
17 Ru 0.500 0.570 0.713
18 Ru 0.500 0.430 0.287
19 Ru 0.500 0.500 0.000
20 Ru 0.500 0.000 0.500

9.
A relaxed Tm2B2Ru5W crystal. Source: Alexandria via LeMat-Bulk, functional PBE-GGA.

Output
Symmetry: P4/mbm (127)

a b c (Å): 3.087 9.608 9.608
angles (deg): 90.00 90.00 90.00
Atoms (fractional coordinates):
1 Tm 0.000 0.676 0.176
2 Tm 0.000 0.324 0.824
3 Tm 0.000 0.176 0.324
4 Tm 0.000 0.824 0.676
5 B 0.000 0.120 0.620
6 B 0.000 0.880 0.380
7 B 0.000 0.620 0.880
8 B 0.000 0.380 0.120
9 Ru 0.500 0.216 0.069
10 Ru 0.500 0.784 0.931
11 Ru 0.500 0.069 0.784
12 Ru 0.500 0.716 0.431
13 Ru 0.500 0.931 0.216
14 Ru 0.500 0.284 0.569
15 Ru 0.500 0.569 0.716
16 Ru 0.500 0.431 0.284
17 Ru 0.500 0.500 0.000
18 Ru 0.500 0.000 0.500
19 W 0.000 0.000 0.000
20 W 0.000 0.500 0.500

10.
A relaxed Tm3Zn2BRu3 crystal. Source: Alexandria via LeMat-Bulk, functional PBE-GGA.

Output
Symmetry: P-62m (189)

a b c (Å): 3.391 7.186 7.186
angles (deg): 120.00 90.00 90.00
Atoms (fractional coordinates):
1 Tm 0.000 0.000 0.362
2 Tm 0.000 0.638 0.638
3 Tm 0.000 0.362 0.000
4 Zn 0.500 0.333 0.667
5 Zn 0.500 0.667 0.333
6 B 0.000 0.000 0.000
7 Ru 0.500 0.769 0.000
8 Ru 0.500 0.231 0.231
9 Ru 0.500 0.000 0.769

11.
A relaxed TmZn2BRu2 crystal. Source: Alexandria via LeMat-Bulk, functional PBE-GGA.

Output
Symmetry: P4/mmm (123)

a b c (Å): 4.194 4.194 5.294
angles (deg): 90.00 90.00 90.00
Atoms (fractional coordinates):
1 Tm 0.000 0.000 0.500
2 Zn 0.500 0.500 0.726
3 Zn 0.500 0.500 0.274
4 B 0.000 0.000 0.000
5 Ru 0.500 0.000 0.000
6 Ru 0.000 0.500 0.000

12.
A relaxed UB2Ru crystal. Source: Alexandria via LeMat-Bulk, functional PBE-GGA.

Output
Symmetry: R-3m (166)

a b c (Å): 3.345 3.345 5.695
angles (deg): 72.92 72.92 60.00
Atoms (fractional coordinates):
1 Ru 0.000 0.000 0.000
2 B 0.729 0.729 0.813
3 B 0.271 0.271 0.187
4 U 0.500 0.500 0.500

ΔH_f (0 K) values, unit eV per atom, following the record order: -0.692; -0.453; -0.186; -0.153; -0.130; -0.501; -0.317; -0.509; -0.489; -0.392; -0.355; -0.016.